This record from Alexandria via LeMat-Bulk describes crystalline CsNbFeO4 at its relaxed geometry. The functional is PBE with a Hubbard U.

The value obtained for the theoretical density is 3663 kg/m³. As for the density of states at the Fermi level: 0.00 states/eV/f.u. The value obtained for the total energy is -7.276 eV/atom. The value obtained for the magnetic moment is 8.0 μB/cell.

The space group is P2_1/m (No. 11) and the conventional cell measures 5.874, 6.138 and 8.707 Å, with angles of 90.00, 93.34 and 90.00 degrees. Symmetry generates all atoms from Cs at (0.200, 0.250, 0.456), Nb at (0.331, 0.750, 0.207), Fe at (0.114, 0.250, 0.969), O at (0.165, 0.510, 0.120), O at (0.296, 0.750, 0.415) and O at (0.354, 0.250, 0.821).